No. 1
# Pd2SeS | the Alexandria database | PBE | optimized geometry
# crystal system	trigonal
# magnetization	0.00	μB/f.u.
# ΔE_f (raw)	-125	meV/atom
data_Pd2SeS
_space_group_name_H-M_alt 'R 3 m'
_space_group_IT_number 160
_space_group_name_Hall 'R 3 -2"'
_cell_length_a 3.9721
_cell_length_b 3.9721
_cell_length_c 18.6134
_cell_angle_alpha 90.00
_cell_angle_beta 90.00
_cell_angle_gamma 120.00
loop_
_atom_site_label
_atom_site_type_symbol
_atom_site_fract_x
_atom_site_fract_y
_atom_site_fract_z
Pd1 Pd 0.0000 0.0000 0.0000
Pd2 Pd 0.0000 0.0000 0.4791
Se1 Se 0.0000 0.0000 0.8676
S1 S 0.0000 0.0000 0.3542

No. 2
# CsTaZn | the Alexandria database | PBE | optimized geometry
# crystal system	orthorhombic
# energy of formation	0.8013	eV/atom
# magnetization	0.00	μB/f.u.
data_CsTaZn
_space_group_name_H-M_alt 'P n m a'
_space_group_IT_number 62
_cell_length_a 9.365
_cell_length_b 3.422
_cell_length_c 12.920
_cell_angle_alpha 90.00
_cell_angle_beta 90.00
_cell_angle_gamma 90.00
loop_
_space_group_symop_operation_xyz
'x,y,z'
'-x,-y,-z'
'-x+1/2,-y,z+1/2'
'x+1/2,y,-z+1/2'
'x+1/2,-y+1/2,-z+1/2'
'-x+1/2,y+1/2,z+1/2'
'-x,y+1/2,-z'
'x,-y+1/2,z'
loop_
_atom_site_label
_atom_site_type_symbol
_atom_site_fract_x
_atom_site_fract_y
_atom_site_fract_z
Cs1 Cs 0.063 0.250 0.172
Ta1 Ta 0.079 0.250 0.548
Zn1 Zn 0.214 0.750 0.413